No. 1
BaHgTe2 PBE-GGA optimized geometry; density = 6.0 Mg/m³; spin magnetization = 0.0 μB per cell; DFT total energy = -3.037 eV per atom
1.0
4.9092 0.0000 0.0000
0.0000 4.7946 -0.4038
0.0000 2.9561 6.6737
Ba Te Hg
1 2 1
Direct
0.0000 0.4466 0.3385
0.0000 0.1222 0.9464
0.5000 0.9058 0.4317
0.5000 0.0254 0.7834

No. 2
Rb2NiSe PBE-GGA optimized geometry; density = 3.8 Mg/m³; spin magnetization = 1.5 μB per cell; DFT total energy = -2.616 eV per atom
1.0
0.0000 4.0871 4.0871
4.0871 0.0000 4.0871
4.0871 4.0871 0.0000
Se Rb Ni
1 2 1
Direct
0.5000 0.5000 0.5000
0.2500 0.2500 0.2500
0.7500 0.7500 0.7500
0.0000 0.0000 0.0000

No. 3
AcZnSn PBE-GGA optimized geometry; distance to the lowest polymorph of the same formula = 0.0 meV per atom; density = 7.9 Mg/m³; spin magnetization = 0.0 μB per cell; DFT total energy = -3.725 eV per atom
1.0
-1.0586 -4.4314 0.8639
2.0542 1.1572 -3.9927
12.4638 -1.8308 5.8820
Ac Zn Sn
3 3 3
Direct
0.4946 0.9892 0.0000
0.4947 0.9894 0.6675
0.4947 0.9894 0.3325
0.8280 0.6560 0.8601
0.1615 0.3230 0.5000
0.8280 0.6560 0.1399
0.1613 0.3226 0.8248
0.1613 0.3226 0.1752
0.8281 0.6562 0.5000